No. 1
First-principles (PBE) data for a geometry-optimized Li3Y3MnS8 structure, as listed in Alexandria.

Cell lengths 7.666, 7.665, 7.567 Å; angles 120.45, 90.00, 120.00 degrees
Fractional coordinates of all 15 atoms:
Y  0.500  0.000  0.500
S  0.225  0.451  0.732
S  0.249  0.498  0.247
Li  0.000  0.000  0.000
Li  0.000  0.500  0.000
S  0.218  0.993  0.268
Li  0.500  0.500  0.000
Y  0.000  0.500  0.500
S  0.225  0.007  0.732
S  0.775  0.993  0.268
Y  0.500  0.500  0.500
S  0.751  0.502  0.753
S  0.782  0.007  0.732
S  0.775  0.549  0.268
Mn  0.000  0.000  0.500

Output
uncorrected formation energy: -23.2 eV/f.u.
SG: No. 166



No. 2
First-principles (PBE) data for a geometry-optimized LiY2MnS4 structure, as listed in Alexandria.

Cell lengths 3.834, 6.551, 6.094 Å; angles 111.33, 90.00, 90.00 degrees
Fractional coordinates of all 8 atoms:
S  0.000  0.748  0.222
S  0.000  0.252  0.778
Li  0.500  0.500  0.000
S  0.500  0.773  0.792
Mn  0.000  0.000  0.000
Y  0.000  0.500  0.500
Y  0.500  0.000  0.500
S  0.500  0.227  0.208

Output
uncorrected formation energy: -11.0 eV/f.u.
SG: No. 10